# 1
TaNb6Mo3 after structural relaxation. Source: Alexandria, functional PBE.

a b c (Å): 8.012 4.628 9.729
angles (deg): 90.00 105.31 90.00
Space group P2_1/m (No. 11)
Unique sites:
Ta: 0.049 0.250 0.403 x2
Nb: 0.055 0.750 0.903 x2
Nb: 0.148 0.750 0.204 x2
Nb: 0.160 0.250 0.705 x2
Nb: 0.259 0.750 0.504 x2
Nb: 0.355 0.250 0.299 x2
Nb: 0.451 0.750 0.098 x2
Mo: 0.250 0.250 0.002 x2
Mo: 0.351 0.750 0.801 x2
Mo: 0.450 0.250 0.600 x2

Computed properties:
- E_form (eV/atom) = -0.087
- density of states at the Fermi level (states/eV/f.u.) = 11.7
- mass density (Mg/m³) = 9.8
- magnetization (μB per cell) = 0.0

---

# 2
CeUCoIr after structural relaxation. Source: Alexandria, functional PBE.

a b c (Å): 6.495 6.495 6.495
angles (deg): 90.00 90.00 90.00
Space group F-43m (No. 216)
Unique sites:
Ce: 0.000 0.000 0.000 x4
U: 0.250 0.250 0.250 x4
Co: 0.250 0.250 0.750 x4
Ir: 0.000 0.000 0.500 x4

Computed properties:
- E_form (eV/atom) = -0.347
- density of states at the Fermi level (states/eV/f.u.) = 2.0
- mass density (Mg/m³) = 15.3
- magnetization (μB per cell) = 0.4

---

# 3
ZnTe after structural relaxation. Source: Alexandria, functional PBE.

a b c (Å): 12.118 4.278 7.393
angles (deg): 90.00 90.00 90.00
Space group Pmn2_1 (No. 31)
Unique sites:
Zn: 0.000 0.048 0.000 x2
Zn: 0.214 0.327 0.179 x4
Te: 0.000 0.557 0.229 x2
Te: 0.193 0.168 0.828 x4

Computed properties:
- formation energy (no corrections) (eV/atom) = -0.31
- mass density (Mg/m³) = 5.0
- magnetization (μB per cell) = 0.0

---

# 4
Y2MoP after structural relaxation. Source: Alexandria, functional PBE.

a b c (Å): 9.720 9.720 4.581
angles (deg): 90.00 90.00 90.00
Space group I-42d (No. 122)
Unique sites:
Y: 0.107 0.250 0.125 x8
Mo: 0.000 0.000 0.500 x4
P: 0.000 0.000 0.000 x4

Computed properties:
- E_form (eV/atom) = -0.031
- density of states at the Fermi level (states/eV/f.u.) = 4.5
- mass density (Mg/m³) = 4.7
- magnetization (μB per cell) = 1.1

---

# 5
KCd2Rh after structural relaxation. Source: Alexandria, functional PBE.

a b c (Å): 7.105 7.105 7.105
angles (deg): 90.00 90.00 90.00
Space group Fm-3m (No. 225)
Unique sites:
K: 0.000 0.000 0.000 x4
Cd: 0.250 0.250 0.250 x8
Rh: 0.000 0.000 0.500 x4

Computed properties:
- E_form (eV/atom) = 0.251
- density of states at the Fermi level (states/eV/f.u.) = 1.9
- relative energy among the computed polymorphs (meV/atom) = 229
- mass density (Mg/m³) = 6.8
- magnetization (μB per cell) = 0.0

---

# 6
BaNpGaO5 after structural relaxation. Source: Alexandria, functional PBE.

a b c (Å): 7.368 9.903 7.994
angles (deg): 90.00 113.85 90.00
Space group C2/c (No. 15)
Unique sites:
Ba: 0.000 0.167 0.250 x4
Np: 0.000 0.500 0.000 x4
Ga: 0.000 0.187 0.750 x4
O: 0.000 0.435 0.250 x4
O: 0.091 0.295 0.606 x8
O: 0.197 0.066 0.901 x8

Computed properties:
- formation energy (no corrections) (eV/atom) = -2.64
- density of states at the Fermi level (states/eV/f.u.) = 5.4
- mass density (Mg/m³) = 6.5
- magnetization (μB per cell) = 8.0

---

# 7
RbBaHg2 after structural relaxation. Source: Alexandria, functional PBE.

a b c (Å): 4.257 4.257 8.856
angles (deg): 90.00 90.00 90.00
Space group P4/mmm (No. 123)
Unique sites:
Rb: 0.000 0.000 0.000 x1
Ba: 0.000 0.000 0.500 x1
Hg: 0.500 0.500 0.284 x2

Computed properties:
- E_form (eV/atom) = -0.331
- density of states at the Fermi level (states/eV/f.u.) = 4.3
- mass density (Mg/m³) = 6.5
- magnetization (μB per cell) = 0.0

---

# 8
Pu4NiPt3 after structural relaxation. Source: Alexandria, functional PBE.

a b c (Å): 3.840 4.250 10.871
angles (deg): 90.00 90.00 90.00
Space group Pmm2 (No. 25)
Unique sites:
Pu: 0.000 0.000 0.000 x1
Pu: 0.000 0.500 0.273 x1
Pu: 0.500 0.000 0.485 x1
Pu: 0.500 0.500 0.777 x1
Ni: 0.500 0.000 0.219 x1
Pt: 0.000 0.000 0.727 x1
Pt: 0.000 0.500 0.543 x1
Pt: 0.500 0.500 0.056 x1

Computed properties:
- E_form (eV/atom) = -0.574
- density of states at the Fermi level (states/eV/f.u.) = 45.7
- mass density (Mg/m³) = 15.2
- magnetization (μB per cell) = 0.1

---

# 9
Pm3HOs after structural relaxation. Source: Alexandria, functional PBE.

a b c (Å): 10.464 6.339 7.682
angles (deg): 90.00 107.71 90.00
Space group P2_1/c (No. 14)
Unique sites:
Pm: 0.084 0.150 0.344 x4
Pm: 0.222 0.668 0.560 x4
Pm: 0.410 0.129 0.785 x4
H: 0.014 0.666 0.925 x4
Os: 0.401 0.611 0.918 x4

Computed properties:
- density of states at the Fermi level (states/eV/f.u.) = 4.5
- mass density (Mg/m³) = 8.6
- raw total energy (eV per atom) = -5.949
- magnetization (μB per cell) = 0.0

---

# 10
Cu3AgH after structural relaxation. Source: Alexandria, functional PBE.

a b c (Å): 4.827 4.827 4.827
angles (deg): 90.00 90.00 90.00
Space group Pm-3m (No. 221)
Unique sites:
Cu: 0.000 0.000 0.500 x3
Ag: 0.000 0.000 0.000 x1
H: 0.500 0.500 0.500 x1

Computed properties:
- density of states at the Fermi level (states/eV/f.u.) = 2.2
- relative energy among the computed polymorphs (meV/atom) = 1319
- mass density (Mg/m³) = 4.4
- magnetization (μB per cell) = 0.8

---

# 11
LiGd2Pd after structural relaxation. Source: Alexandria, functional PBE.

a b c (Å): 4.996 4.996 3.699
angles (deg): 90.00 90.00 90.00
Space group P4/mmm (No. 123)
Unique sites:
Li: 0.000 0.000 0.000 x1
Gd: 0.000 0.500 0.500 x2
Pd: 0.500 0.500 0.000 x1

Computed properties:
- E_form (eV/atom) = -0.371
- density of states at the Fermi level (states/eV/f.u.) = 4.0
- mass density (Mg/m³) = 7.7
- magnetization (μB per cell) = 14.5

---

# 12
KY2Sc after structural relaxation. Source: Alexandria, functional PBE.

a b c (Å): 3.5438 3.5438 38.2997
angles (deg): 90.00 90.00 120.00
Space group R-3m (No. 166, hexagonal axes)
Unique sites:
K: 0.0000 0.0000 0.0000 x3
Y: 0.0000 0.0000 0.2356 x6
Sc: 0.0000 0.0000 0.5000 x3

Computed properties:
- E_form (eV/atom) = 0.244
- density of states at the Fermi level (states/eV/f.u.) = 4.3
- relative energy among the computed polymorphs (meV/atom) = 9
- mass density (Mg/m³) = 3.1
- magnetization (μB per cell) = 0.0